Entry from the Alexandria database: a geometry-optimized H2PbF2 structure (PBE-GGA).

```
5
Lattice="-0.821 -0.657 3.845 -1.193 -3.624 1.193 5.236 -3.762 2.543" Properties=species:S:1:pos:R:3 pbc="T T T"
H 1.797 -3.709 3.884
H 1.424 -4.334 3.697
Pb 0.000 0.000 0.000
F 0.269 -1.689 1.836
F 2.952 -6.353 5.745
```

Properties
The space group is No. 12. As for the energy: -4.21 eV/atom. Its volume is 17.6 Å³ per atom. The calculation puts the density of states at the Fermi level at 0.000 states/eV/f.u.

---

Entry from the Alexandria database: a geometry-optimized PaTlH2 structure (PBE-GGA).

```
4
Lattice="3.334 0.000 0.000 1.667 2.887 0.000 1.667 0.962 7.065" Properties=species:S:1:pos:R:3 pbc="T T T"
H 1.667 0.962 4.639
H 5.001 2.887 2.426
Tl 0.000 0.000 0.000
Pa 3.334 1.925 3.532
```

Properties
The space group is No. 166. As for the energy: -4.63 eV/atom. Its volume is 17.0 Å³ per atom. The calculation puts the density of states at the Fermi level at 3.857 states/eV/f.u.

---

Entry from the Alexandria database: a geometry-optimized PrNd2YBi5 structure (PBE-GGA).

```
9
Lattice="5.606 0.000 0.000 0.000 5.606 0.000 0.000 0.000 11.988" Properties=species:S:1:pos:R:3 pbc="T T T"
Pr 0.000 0.000 5.994
Nd 2.803 2.803 3.291
Nd 2.803 2.803 8.697
Y 0.000 0.000 0.000
Bi 0.000 2.803 5.994
Bi 2.803 0.000 5.994
Bi 0.000 0.000 9.084
Bi 0.000 0.000 2.904
Bi 2.803 2.803 0.000
```

Properties
The space group is No. 123. For the calculated formation energy, the calculation gives -0.01 eV/f.u. As for the energy: -4.47 eV/atom. Its volume is 41.9 Å³ per atom. The calculation puts the density of states at the Fermi level at 6.353 states/eV/f.u.

---

Entry from the Alexandria database: a geometry-optimized CsNa2 structure (PBE-GGA).

```
3
Lattice="-4.589 -0.307 -1.300 1.289 -2.235 -4.023 1.090 -5.466 6.225" Properties=species:S:1:pos:R:3 pbc="T T T"
Cs 0.000 0.000 0.000
Na -1.879 -4.029 -1.203
Na -0.331 -3.978 2.104
```

Properties
The space group is No. 139. For the calculated formation energy, the calculation gives 0.13 eV/f.u. As for the energy: -1.12 eV/atom. Its volume is 58.2 Å³ per atom. The calculation puts the density of states at the Fermi level at 2.409 states/eV/f.u.

---

Entry from the Alexandria database: a geometry-optimized CePrSi2 structure (PBE-GGA).

```
4
Lattice="-2.704 -0.348 -3.286 1.504 -0.651 -3.943 -0.732 -7.110 -1.418" Properties=species:S:1:pos:R:3 pbc="T T T"
Pr -0.966 -4.054 -4.324
Si -0.478 -1.915 -2.178
Si -1.455 -6.194 -6.469
Ce 0.000 0.000 0.000
```

Properties
The calculation puts the formation energy from raw total energies at -0.429 eV/atom. The space group is No. 166. As for the energy: -5.82 eV/atom. Its volume is 27.1 Å³ per atom. The calculation puts the distance to the lowest polymorph of the same formula at 252 meV/atom. The calculation puts the density of states at the Fermi level at 5.377 states/eV/f.u.

---

Entry from the Alexandria database: a geometry-optimized Ce5SmPb6 structure (PBE-GGA).

```
12
Lattice="7.870 0.216 0.000 2.423 7.491 0.000 1.211 3.745 6.822" Properties=species:S:1:pos:R:3 pbc="T T T"
Ce 5.147 3.853 4.570
Ce 1.211 3.745 2.279
Ce 5.147 3.853 0.000
Ce 2.423 7.491 4.543
Ce 6.358 7.599 2.252
Sm 0.000 0.000 0.000
Pb 6.496 2.053 2.295
Pb 3.797 5.653 2.295
Pb 2.586 1.952 0.000
Pb 7.707 5.754 0.000
Pb 7.707 5.799 4.526
Pb 5.008 9.399 4.526
```

Properties
The space group is No. 12. For the calculated formation energy, the calculation gives -3.73 eV/f.u. As for the energy: -5.03 eV/atom. Its volume is 33.2 Å³ per atom. The calculation puts the distance to the lowest polymorph of the same formula at 100 meV/atom. The calculation puts the density of states at the Fermi level at 17.269 states/eV/f.u.